1.
The following is a PBE calculation of a geometry-optimized DyEr6Sc6 structure, from Alexandria via LeMat-Bulk.

Cell: 6.3714 6.3714 10.8182 Å, 90.00 90.00 120.00°
Last column: nearest neighbours and their distance in Å.
Space group P6/mmm (No. 191)
One atom of each set of equivalent atoms:
Dy (0.0000, 0.0000, 0.0000)  8 Er 3.67-3.68
Er (0.0000, 0.0000, 0.3396)  6 Sc 3.36, 1 Er 3.47, 1 Dy 3.67
Er (0.3333, 0.6667, 0.0000)  6 Sc 3.19
Er (0.3333, 0.6667, 0.5000)  6 Sc 3.35, 3 Er 3.68
Sc (0.0000, 0.5000, 0.2411)  4 Sc 3.19, 6 Er 3.19-3.36

Fermi-level density of states = 26.89 states/eV/f.u.
total energy = -5.1540 eV/atom



2.
The following is a PBE calculation of a geometry-optimized DyEr5Sc2 structure, from Alexandria via LeMat-Bulk.

Cell: 6.8882 6.9240 9.7244 Å, 90.00 90.00 90.00°
Last column: nearest neighbours and their distance in Å.
Space group Immm (No. 71)
One atom of each set of equivalent atoms:
Dy (0.0000, 0.0000, 0.0000)  2 Sc 3.44, 10 Er 3.45-3.46
Er (0.0000, 0.5000, 0.0000)  2 Sc 3.44, 8 Er 3.45, 2 Dy 3.46
Er (0.2500, 0.2500, 0.2500)  6 Er 3.44-3.46, 2 Dy 3.45, 4 Sc 3.45
Sc (0.0000, 0.0000, 0.5000)  10 Er 3.44-3.45, 2 Sc 3.46
Sc (0.0000, 0.5000, 0.5000)  2 Dy 3.44, 8 Er 3.45, 2 Sc 3.46

E above lowest polymorph = 0.0000 eV per atom
Fermi-level density of states = 13.55 states/eV/f.u.
total energy = -4.9636 eV/atom



3.
The following is a PBE calculation of a geometry-optimized Dy5Er3Sc2 structure, from Alexandria via LeMat-Bulk.

Cell: 8.9545 13.4050 10.7283 Å, 90.00 90.00 90.00°
Last column: nearest neighbours and their distance in Å.
Space group Ibam (No. 72)
One atom of each set of equivalent atoms:
Dy (0.0000, 0.0000, 0.2500)  6 Dy 3.46-3.67, 4 Er 3.57
Dy (0.0000, 0.2579, 0.2500)  3 Er 3.19-3.24, 2 Sc 3.20, 1 Dy 3.46
Dy (0.2332, 0.1037, 0.0000)  1 Sc 2.99, 1 Er 3.24
Er (0.0000, 0.5000, 0.2500)  4 Sc 3.18, 2 Dy 3.24
Er (0.1198, 0.1563, 0.5000)  1 Sc 2.85
Sc (0.0667, 0.3799, 0.0000)  3 Er 2.85-3.18, 1 Dy 2.99

Fermi-level density of states = 13.53 states/eV/f.u.
total energy = -4.5573 eV/atom



4.
The following is a PBE calculation of a geometry-optimized Dy6ErSc2 structure, from Alexandria via LeMat-Bulk.

Cell: 13.3378 12.9115 6.5042 Å, 90.00 104.77 90.00°
Last column: nearest neighbours and their distance in Å.
Space group C2/c (No. 15)
One atom of each set of equivalent atoms:
Dy (0.0269, 0.1445, 0.9999)  3 Sc 3.14-3.44, 2 Dy 3.15-3.51, 1 Er 3.30
Dy (0.1202, 0.4123, 0.8151)  3 Dy 3.10-3.39, 2 Sc 3.25-3.28, 1 Er 3.32
Dy (0.2443, 0.2057, 0.7347)  2 Sc 3.24-3.32, 4 Dy 3.25-3.60, 1 Er 3.49
Er (0.0000, 0.3607, 0.2500)  10 Dy 3.30-3.68
Sc (0.1816, 0.0281, 0.3736)  7 Dy 3.14-3.44, 2 Sc 3.33

E above lowest polymorph = 0.0589 eV per atom
Fermi-level density of states = 9.88 states/eV/f.u.
total energy = -4.8471 eV/atom



Summary of size of the total moment in μB/f.u.
1.0 0.0 0.0 0.0
(order as listed above)